# 1
12
Lattice="2.745 0.000 0.000 -1.373 2.377 0.000 0.000 0.000 27.288" Properties=species:S:1:pos:R:3 comment="TcMoOs2 PBE optimized geometry" vol_a3_per_cell=178 relative_energy_ev_per_atom=0.095 e_tot_ev_per_atom=-10.779 ef_mev_per_atom=135 pbc="T T T"
Tc 0.000 0.000 0.000
Tc 0.000 1.585 18.192
Tc 1.373 0.792 9.096
Mo 0.000 0.000 6.693
Mo 0.000 1.585 24.885
Mo 1.373 0.792 15.789
Os 0.000 0.000 13.543
Os 0.000 0.000 20.346
Os 0.000 1.585 4.447
Os 0.000 1.585 11.250
Os 1.373 0.792 2.154
Os 1.373 0.792 22.639

=====

# 2
16
Lattice="6.217 0.000 0.000 0.000 6.217 0.000 0.000 0.000 6.217" Properties=species:S:1:pos:R:3 comment="TcMoOs2 PBE optimized geometry" vol_a3_per_cell=240 relative_energy_ev_per_atom=0.416 e_tot_ev_per_atom=-10.457 ef_mev_per_atom=457 pbc="T T T"
Tc 0.000 0.000 0.000
Tc 0.000 3.108 3.108
Tc 3.108 0.000 3.108
Tc 3.108 3.108 0.000
Mo 0.000 0.000 3.108
Mo 0.000 3.108 0.000
Mo 3.108 0.000 0.000
Mo 3.108 3.108 3.108
Os 1.554 1.554 1.554
Os 1.554 1.554 4.662
Os 1.554 4.662 1.554
Os 1.554 4.662 4.662
Os 4.662 1.554 1.554
Os 4.662 1.554 4.662
Os 4.662 4.662 1.554
Os 4.662 4.662 4.662

=====

# 3
5
Lattice="4.662 0.000 0.000 0.000 4.662 0.000 0.000 0.000 4.662" Properties=species:S:1:pos:R:3 comment="TcMo3Os PBE optimized geometry" vol_a3_per_cell=101 relative_energy_ev_per_atom=0.000 e_tot_ev_per_atom=-8.911 ef_mev_per_atom=1907 pbc="T T T"
Tc 0.000 0.000 0.000
Mo 0.000 2.331 2.331
Mo 2.331 0.000 2.331
Mo 2.331 2.331 0.000
Os 2.331 2.331 2.331

=====

# 4
8
Lattice="9.110 0.000 0.000 0.000 2.756 0.000 -0.821 0.000 4.722" Properties=species:S:1:pos:R:3 comment="TcMoOs2 PBE optimized geometry" vol_a3_per_cell=119 relative_energy_ev_per_atom=0.038 e_tot_ev_per_atom=-10.835 ef_mev_per_atom=79 pbc="T T T"
Tc 0.000 0.000 0.000
Tc 4.555 1.378 0.000
Mo 1.646 0.000 3.462
Mo 6.201 1.378 3.462
Os 2.089 1.378 1.105
Os 4.084 0.000 2.261
Os 6.643 0.000 1.105
Os 8.638 1.378 2.261